Compound: Na3Mn2P2C2O14
Source: the Alexandria database
Functional: GGA+U
Structure: relaxed

Computed properties:
Crystal system: monoclinic
Uncorrected energy (eV for the cell shown): -318.87

a b c (Å): 10.427 6.497 10.480
angles (deg): 90.00 118.69 90.00
Space group P2_1 (No. 4)
Unique sites:
Na: 0.234 0.000 0.229 x2
Na: 0.234 0.034 0.734 x2
Na: 0.237 0.554 0.735 x2
Mn: 0.351 0.296 0.071 x2
Mn: 0.353 0.295 0.561 x2
P: 0.430 0.793 0.069 x2
P: 0.431 0.791 0.577 x2
C: 0.083 0.285 0.400 x2
C: 0.088 0.291 0.901 x2
O: 0.044 0.796 0.186 x2
O: 0.054 0.789 0.671 x2
O: 0.148 0.285 0.044 x2
O: 0.154 0.296 0.545 x2
O: 0.172 0.270 0.347 x2
O: 0.192 0.295 0.861 x2
O: 0.333 0.605 0.562 x2
O: 0.333 0.981 0.057 x2
O: 0.335 0.604 0.056 x2
O: 0.342 0.983 0.574 x2
O: 0.421 0.276 0.281 x2
O: 0.423 0.297 0.789 x2
O: 0.460 0.796 0.934 x2
O: 0.465 0.802 0.447 x2